w | # Ag2MoBr PBE relaxed
# Fermi-level density of states: 0.8728 states/eV per atom
# Calculated volume: 337.5 Å³ per cell
data_Ag2MoBr
_chemical_formula_sum 'Ag8 Mo4 Br4'
_space_group_name_H-M_alt 'F m -3 m'
_space_group_IT_number 225
_space_group_name_Hall '-F 4 2 3'
_cell_length_a 6.962
_cell_length_b 6.962
_cell_length_c 6.962
_cell_angle_alpha 90.00
_cell_angle_beta 90.00
_cell_angle_gamma 90.00
loop_
_atom_site_label
_atom_site_type_symbol
_atom_site_fract_x
_atom_site_fract_y
_atom_site_fract_z
Ag1 Ag 0.250 0.250 0.250
Mo1 Mo 0.000 0.000 0.000
Br1 Br 0.000 0.000 0.500

---

x | # Ag2MoBr PBE relaxed
# Fermi-level density of states: 0.7870 states/eV per atom
# Calculated volume: 153.2 Å³ per cell
data_Ag2MoBr
_chemical_formula_sum 'Ag4 Mo2 Br2'
_space_group_name_H-M_alt 'C m m m'
_space_group_IT_number 65
_space_group_name_Hall '-C 2 2'
_cell_length_a 5.347
_cell_length_b 9.837
_cell_length_c 2.913
_cell_angle_alpha 90.00
_cell_angle_beta 90.00
_cell_angle_gamma 90.00
loop_
_atom_site_label
_atom_site_type_symbol
_atom_site_fract_x
_atom_site_fract_y
_atom_site_fract_z
Ag1 Ag 0.250 0.250 0.000
Mo1 Mo 0.000 0.000 0.500
Br1 Br 0.000 0.500 0.500

---

Most stable structure: x

---

w | # AgMoBr PBE relaxed
# Fermi-level density of states: 1.0582 states/eV per atom
# Calculated volume: 55.1 Å³ per cell
data_AgMoBr
_chemical_formula_sum 'Ag1 Mo1 Br1'
_space_group_name_H-M_alt 'P -6 m 2'
_space_group_IT_number 187
_space_group_name_Hall 'P -6 2'
_cell_length_a 4.6145
_cell_length_b 4.6145
_cell_length_c 2.9882
_cell_angle_alpha 90.00
_cell_angle_beta 90.00
_cell_angle_gamma 120.00
loop_
_atom_site_label
_atom_site_type_symbol
_atom_site_fract_x
_atom_site_fract_y
_atom_site_fract_z
Ag1 Ag 0.0000 0.0000 0.0000
Mo1 Mo 0.3333 0.6667 0.5000
Br1 Br 0.6667 0.3333 0.5000

---

x | # AgMoBr PBE relaxed
# Fermi-level density of states: 0.7236 states/eV per atom
# Calculated volume: 244.7 Å³ per cell
data_AgMoBr
_chemical_formula_sum 'Ag4 Mo4 Br4'
_space_group_name_H-M_alt 'F m m 2'
_space_group_IT_number 42
_space_group_name_Hall 'F 2 -2'
_cell_length_a 3.144
_cell_length_b 5.234
_cell_length_c 14.869
_cell_angle_alpha 90.00
_cell_angle_beta 90.00
_cell_angle_gamma 90.00
loop_
_atom_site_label
_atom_site_type_symbol
_atom_site_fract_x
_atom_site_fract_y
_atom_site_fract_z
Ag1 Ag 0.000 0.000 0.000
Mo1 Mo 0.000 0.000 0.658
Br1 Br 0.000 0.000 0.294

---

Most stable structure: x

---

w | # AgMoBr PBE relaxed
# Fermi-level density of states: 0.7668 states/eV per atom
# Calculated volume: 122.3 Å³ per cell
data_AgMoBr
_chemical_formula_sum 'Ag2 Mo2 Br2'
_space_group_name_H-M_alt 'I 4 m m'
_space_group_IT_number 107
_space_group_name_Hall 'I 4 -2'
_cell_length_a 3.064
_cell_length_b 3.064
_cell_length_c 13.027
_cell_angle_alpha 90.00
_cell_angle_beta 90.00
_cell_angle_gamma 90.00
loop_
_atom_site_label
_atom_site_type_symbol
_atom_site_fract_x
_atom_site_fract_y
_atom_site_fract_z
Ag1 Ag 0.000 0.000 0.000
Mo1 Mo 0.000 0.000 0.645
Br1 Br 0.000 0.000 0.265

---

x | # AgMoBr PBE relaxed
# Fermi-level density of states: 0.9065 states/eV per atom
# Calculated volume: 60.7 Å³ per cell
data_AgMoBr
_chemical_formula_sum 'Ag1 Mo1 Br1'
_space_group_name_H-M_alt 'P 3 m 1'
_space_group_IT_number 156
_space_group_name_Hall 'P 3 -2"'
_cell_length_a 3.1361
_cell_length_b 3.1361
_cell_length_c 7.1237
_cell_angle_alpha 90.00
_cell_angle_beta 90.00
_cell_angle_gamma 120.00
loop_
_atom_site_label
_atom_site_type_symbol
_atom_site_fract_x
_atom_site_fract_y
_atom_site_fract_z
Ag1 Ag 0.0000 0.0000 0.0000
Mo1 Mo 0.3333 0.6667 0.6863
Br1 Br 0.6667 0.3333 0.4325

---

y | # AgMoBr PBE relaxed
# Fermi-level density of states: 0.2181 states/eV per atom
# Calculated volume: 247.8 Å³ per cell
data_AgMoBr
_chemical_formula_sum 'Ag4 Mo4 Br4'
_space_group_name_H-M_alt 'F -4 3 m'
_space_group_IT_number 216
_space_group_name_Hall 'F -4 2 3'
_cell_length_a 6.281
_cell_length_b 6.281
_cell_length_c 6.281
_cell_angle_alpha 90.00
_cell_angle_beta 90.00
_cell_angle_gamma 90.00
loop_
_atom_site_label
_atom_site_type_symbol
_atom_site_fract_x
_atom_site_fract_y
_atom_site_fract_z
Ag1 Ag 0.000 0.000 0.000
Mo1 Mo 0.250 0.250 0.250
Br1 Br 0.000 0.000 0.500

---

Most stable structure: x